one | An optimized crystal structure of NiAgSb2. Source: Alexandria via LeMat-Bulk, functional PBE-GGA.

POSCAR file:
```
NiAgSb2
1.0
-0.581 -4.390 -2.000
-4.233 -1.186 -2.069
-0.303 -0.449 -4.829
Sb Ag Ni
2 1 1
direct
0.250 0.250 0.250 Sb
0.750 0.750 0.750 Sb
0.500 0.500 0.500 Ag
0.000 0.000 0.000 Ni
```

Properties
Symmetry: Fm-3m (225)
Magnetization: 0.0000 μB/atom
DOS at the Fermi energy: 1.8 states/eV per cell


two | An optimized crystal structure of NiAgSb2. Source: Alexandria via LeMat-Bulk, functional PBE-GGA.

POSCAR file:
```
NiAgSb2
1.0
4.919 0.000 0.000
2.459 4.260 0.000
2.459 1.420 4.016
Ag Ni Sb
1 1 2
direct
0.500 0.500 0.500 Ag
0.750 0.750 0.750 Ni
0.000 0.000 0.000 Sb
0.250 0.250 0.250 Sb
```

Properties
Symmetry: F-43m (216)
Magnetization: 0.0000 μB/atom
DOS at the Fermi energy: 2.6 states/eV per cell


three | An optimized crystal structure of NiAgSb2. Source: Alexandria via LeMat-Bulk, functional PBE-GGA.

POSCAR file:
```
NiAgSb2
1.0
-3.960 -4.687 -3.361
0.232 -6.878 -1.257
0.042 5.638 4.141
Ag Ni Sb
1 1 2
direct
0.436 0.436 0.000 Ag
0.226 0.726 0.500 Ni
0.063 0.063 0.000 Sb
0.775 0.275 0.500 Sb
```

Properties
Symmetry: Imm2 (44)
Magnetization: 0.0000 μB/atom
DOS at the Fermi energy: 2.4 states/eV per cell


four | An optimized crystal structure of NiAgSb2. Source: Alexandria via LeMat-Bulk, functional PBE-GGA.

POSCAR file:
```
NiAgSb2
1.0
-2.949 0.628 -1.106
0.829 -1.168 -2.874
-2.419 -7.332 2.283
Ag Ni Sb
1 1 2
direct
0.000 0.000 0.542 Ag
0.500 0.500 0.751 Ni
0.000 0.000 0.915 Sb
0.500 0.500 0.291 Sb
```

Properties
Symmetry: P4mm (99)
Magnetization: 0.0000 μB/atom
DOS at the Fermi energy: 2.0 states/eV per cell


Most stable to least stable, the ends of the list are three and two.


one | An optimized crystal structure of NiAgSb2. Source: Alexandria via LeMat-Bulk, functional PBE-GGA.

POSCAR file:
```
NiAgSb2
1.0
-3.769 -1.802 2.626
5.178 -4.020 -2.926
2.195 -1.556 2.052
Ag Ni Sb
1 1 2
direct
0.500 0.500 0.000 Ag
0.500 0.000 0.500 Ni
0.000 0.000 0.000 Sb
0.000 0.500 0.500 Sb
```

Properties
Symmetry: C2/m (12)
Magnetization: 0.0000 μB/atom
DOS at the Fermi energy: 1.4 states/eV per cell


two | An optimized crystal structure of NiAgSb2. Source: Alexandria via LeMat-Bulk, functional PBE-GGA.

POSCAR file:
```
NiAgSb2
1.0
-3.223 1.851 -1.208
-2.684 -1.932 -2.083
-4.948 -1.722 4.394
Ag Ni Sb
1 1 2
direct
0.750 0.750 0.750 Ag
0.250 0.250 0.250 Ni
0.980 0.980 0.054 Sb
0.520 0.520 0.446 Sb
```

Properties
Symmetry: C2/m (12)
Magnetization: 0.0000 μB/atom
DOS at the Fermi energy: 1.6 states/eV per cell


Most stable to least stable, the ends of the list are two and one.


one | An optimized crystal structure of NiAgSb2. Source: Alexandria via LeMat-Bulk, functional PBE-GGA.

POSCAR file:
```
NiAgSb2
1.0
-4.078 3.360 -3.986
0.638 -4.701 -4.616
-5.342 -2.930 -2.500
Sb Ag Ni
4 2 2
direct
0.586 0.125 0.250 Sb
0.164 0.625 0.250 Sb
0.375 0.414 0.750 Sb
0.875 0.836 0.750 Sb
0.000 0.000 0.000 Ag
0.750 0.250 0.500 Ag
0.500 0.500 0.000 Ni
0.250 0.750 0.500 Ni
```

Properties
Symmetry: I-42d (122)
Magnetization: 0.0000 μB/atom
DOS at the Fermi energy: 5.1 states/eV per cell


two | An optimized crystal structure of NiAgSb2. Source: Alexandria via LeMat-Bulk, functional PBE-GGA.

POSCAR file:
```
NiAgSb2
1.0
3.297 0.000 0.000
0.000 4.069 0.000
0.000 2.056 6.187
Ag Ni Sb
1 1 2
direct
0.000 0.688 0.497 Ag
0.500 0.508 0.861 Ni
0.000 0.002 0.869 Sb
0.500 0.302 0.273 Sb
```

Properties
Symmetry: Pm (6)
Magnetization: 0.0000 μB/atom
DOS at the Fermi energy: 2.1 states/eV per cell


Most stable to least stable, the ends of the list are two and one.


one | An optimized crystal structure of NiAgSb2. Source: Alexandria via LeMat-Bulk, functional PBE-GGA.

POSCAR file:
```
NiAgSb2
1.0
5.028 0.047 0.000
0.805 4.963 0.000
-2.916 -2.505 3.240
Ag Ni Sb
1 1 2
direct
0.250 0.750 0.500 Ag
0.750 0.250 0.500 Ni
0.000 0.000 0.000 Sb
0.500 0.500 0.000 Sb
```

Properties
Symmetry: I4/mmm (139)
Magnetization: 0.0000 μB/atom
DOS at the Fermi energy: 1.2 states/eV per cell


two | An optimized crystal structure of NiAgSb2. Source: Alexandria via LeMat-Bulk, functional PBE-GGA.

POSCAR file:
```
NiAgSb2
1.0
-1.643 -2.125 1.713
2.691 -0.310 1.678
-2.407 5.839 4.937
Ag Ni Sb
1 1 2
direct
0.500 0.500 0.250 Ag
0.500 0.500 0.750 Ni
0.000 0.000 0.961 Sb
0.000 0.000 0.539 Sb
```

Properties
Symmetry: Cmmm (65)
Magnetization: 0.0000 μB/atom
DOS at the Fermi energy: 1.8 states/eV per cell


Most stable to least stable, the ends of the list are two and one.


one | An optimized crystal structure of Ni2Ag2Sb. Source: Alexandria via LeMat-Bulk, functional PBE-GGA.

POSCAR file:
```
Ni2Ag2Sb
1.0
6.364 0.000 0.000
0.000 6.364 0.000
0.000 0.000 4.096
Sb Ag Ni
2 4 4
direct
0.000 0.000 0.000 Sb
0.500 0.500 0.000 Sb
0.161 0.661 0.500 Ag
0.661 0.839 0.500 Ag
0.839 0.339 0.500 Ag
0.339 0.161 0.500 Ag
0.366 0.866 0.000 Ni
0.866 0.634 0.000 Ni
0.634 0.134 0.000 Ni
0.134 0.366 0.000 Ni
```

Properties
Symmetry: P4/mbm (127)
Magnetization: 0.0000 μB/atom
DOS at the Fermi energy: 7.8 states/eV per cell


two | An optimized crystal structure of Ni2Ag2Sb. Source: Alexandria via LeMat-Bulk, functional PBE-GGA.

POSCAR file:
```
Ni2Ag2Sb
1.0
-1.625 1.858 -2.187
1.801 -1.296 -2.440
-5.559 -5.777 -3.263
Sb Ag Ni
1 2 2
direct
0.000 0.000 0.000 Sb
0.378 0.378 0.243 Ag
0.622 0.622 0.757 Ag
0.750 0.250 0.500 Ni
0.250 0.750 0.500 Ni
```

Properties
Symmetry: I4/mmm (139)
Magnetization: 0.0000 μB/atom
DOS at the Fermi energy: 7.0 states/eV per cell


Most stable to least stable, the ends of the list are one and two.


one | An optimized crystal structure of NiAgSb3. Source: Alexandria via LeMat-Bulk, functional PBE-GGA.

POSCAR file:
```
NiAgSb3
1.0
5.011 0.000 0.000
0.000 5.011 0.000
0.000 0.000 5.011
Sb Ag Ni
3 1 1
direct
0.000 0.500 0.000 Sb
0.000 0.000 0.500 Sb
0.500 0.000 0.000 Sb
0.500 0.500 0.500 Ag
0.000 0.000 0.000 Ni
```

Properties
Symmetry: Pm-3m (221)
Magnetization: 0.0000 μB/atom
DOS at the Fermi energy: 4.2 states/eV per cell


two | An optimized crystal structure of NiAgSb3. Source: Alexandria via LeMat-Bulk, functional PBE-GGA.

POSCAR file:
```
NiAgSb3
1.0
-3.205 1.533 3.932
1.807 -3.963 3.019
3.813 3.167 1.874
Sb Ag Ni
3 1 1
direct
0.000 0.500 0.000 Sb
0.000 0.000 0.500 Sb
0.500 0.000 0.000 Sb
0.000 0.000 0.000 Ag
0.500 0.500 0.500 Ni
```

Properties
Symmetry: Pm-3m (221)
Magnetization: 0.0002 μB/atom
DOS at the Fermi energy: 5.9 states/eV per cell


Most stable to least stable, the ends of the list are one and two.


one | An optimized crystal structure of NiAgSbTe2. Source: Alexandria via LeMat-Bulk, functional PBE-GGA.

POSCAR file:
```
NiAgSbTe2
1.0
-0.303 -5.085 -1.298
4.998 0.116 -1.624
1.453 -1.206 4.386
Sb Te Ag Ni
1 2 1 1
direct
0.000 0.000 0.500 Sb
0.000 0.500 0.000 Te
0.500 0.000 0.000 Te
0.500 0.500 0.500 Ag
0.000 0.000 0.000 Ni
```

Properties
Symmetry: P4/mmm (123)
Magnetization: 0.0000 μB/atom
DOS at the Fermi energy: 4.3 states/eV per cell


two | An optimized crystal structure of NiAgSbTe2. Source: Alexandria via LeMat-Bulk, functional PBE-GGA.

POSCAR file:
```
NiAgSbTe2
1.0
5.449 0.000 0.000
0.000 5.449 0.000
0.000 0.000 5.233
Sb Te Ag Ni
1 2 1 1
direct
0.000 0.000 0.500 Sb
0.000 0.500 0.000 Te
0.500 0.000 0.000 Te
0.000 0.000 0.000 Ag
0.500 0.500 0.500 Ni
```

Properties
Symmetry: P4/mmm (123)
Magnetization: 0.1999 μB/atom
DOS at the Fermi energy: 8.4 states/eV per cell


Most stable to least stable, the ends of the list are one and two.


one | An optimized crystal structure of Sc4NiAg. Source: Alexandria via LeMat-Bulk, functional PBE-GGA.

POSCAR file:
```
Sc4NiAg
1.0
4.490 0.000 -0.001
0.000 4.490 -0.002
0.003 0.005 6.756
Sc Ni Ag
4 1 1
direct
0.501 0.997 0.275 Sc
0.501 0.997 0.721 Sc
0.001 0.497 0.721 Sc
0.001 0.497 0.275 Sc
0.001 0.998 0.498 Ni
0.501 0.497 0.998 Ag
```

Properties
Symmetry: P4/mmm (123)
Magnetization: 0.0000 μB/atom
DOS at the Fermi energy: 7.5 states/eV per cell


two | An optimized crystal structure of Sc4NiAg. Source: Alexandria via LeMat-Bulk, functional PBE-GGA.

POSCAR file:
```
Sc4NiAg
1.0
0.000 3.971 3.971
3.971 0.000 3.971
3.971 3.971 0.000
Sc Ni Ag
4 1 1
direct
0.877 0.374 0.374 Sc
0.374 0.374 0.877 Sc
0.374 0.877 0.374 Sc
0.374 0.374 0.374 Sc
0.000 0.000 0.000 Ni
0.750 0.750 0.750 Ag
```

Properties
Symmetry: F-43m (216)
Magnetization: 0.0004 μB/atom
DOS at the Fermi energy: 7.8 states/eV per cell


three | An optimized crystal structure of Sc4NiAg. Source: Alexandria via LeMat-Bulk, functional PBE-GGA.

POSCAR file:
```
Sc4NiAg
1.0
7.650 0.000 4.417
2.550 7.212 4.417
0.000 0.000 8.833
Sc Ni Ag
16 4 4
direct
0.397 0.397 0.397 Sc
0.809 0.397 0.397 Sc
0.397 0.809 0.397 Sc
0.397 0.397 0.809 Sc
0.563 0.563 0.937 Sc
0.937 0.937 0.563 Sc
0.563 0.937 0.563 Sc
0.937 0.563 0.937 Sc
0.937 0.563 0.563 Sc
0.563 0.937 0.937 Sc
0.186 0.186 0.814 Sc
0.814 0.814 0.186 Sc
0.186 0.814 0.186 Sc
0.814 0.186 0.814 Sc
0.814 0.186 0.186 Sc
0.186 0.814 0.814 Sc
0.605 0.605 0.605 Ni
0.184 0.605 0.605 Ni
0.605 0.184 0.605 Ni
0.605 0.605 0.184 Ni
0.167 0.167 0.167 Ag
0.500 0.167 0.167 Ag
0.167 0.500 0.167 Ag
0.167 0.167 0.500 Ag
```

Properties
Symmetry: F-43m (216)
Magnetization: 0.0001 μB/atom
DOS at the Fermi energy: 25.8 states/eV per cell


Most stable to least stable, the ends of the list are three and two.


one | An optimized crystal structure of ScNiAg. Source: Alexandria via LeMat-Bulk, functional PBE-GGA.

POSCAR file:
```
ScNiAg
1.0
-0.536 -0.133 3.151
0.670 -2.674 -1.623
5.892 0.845 1.038
Ag Ni Sc
1 1 1
direct
0.000 0.000 0.020 Ag
0.667 0.333 0.348 Ni
0.333 0.667 0.631 Sc
```

Properties
Symmetry: P3m1 (156)
Magnetization: 0.0000 μB/atom
DOS at the Fermi energy: 1.4 states/eV per cell


two | An optimized crystal structure of ScNiAg. Source: Alexandria via LeMat-Bulk, functional PBE-GGA.

POSCAR file:
```
ScNiAg
1.0
-1.534 4.552 -1.680
-2.997 2.171 -3.493
-2.934 0.744 1.391
Ag Ni Sc
1 1 1
direct
0.006 0.006 0.994 Ag
0.676 0.676 0.324 Ni
0.318 0.318 0.682 Sc
```

Properties
Symmetry: I4mm (107)
Magnetization: 0.0000 μB/atom
DOS at the Fermi energy: 2.2 states/eV per cell


three | An optimized crystal structure of ScNiAg. Source: Alexandria via LeMat-Bulk, functional PBE-GGA.

POSCAR file:
```
ScNiAg
1.0
-2.956 -3.109 0.424
1.220 -4.012 0.998
-0.885 -1.615 3.898
Ag Ni Sc
1 1 1
direct
0.500 0.500 0.500 Ag
0.750 0.750 0.750 Ni
0.000 0.000 0.000 Sc
```

Properties
Symmetry: F-43m (216)
Magnetization: 0.0000 μB/atom
DOS at the Fermi energy: 1.3 states/eV per cell


four | An optimized crystal structure of ScNiAg. Source: Alexandria via LeMat-Bulk, functional PBE-GGA.

POSCAR file:
```
ScNiAg
1.0
4.395 0.000 0.000
2.198 3.806 0.000
2.198 1.269 3.589
Ag Ni Sc
1 1 1
direct
0.000 0.000 0.000 Ag
0.500 0.500 0.500 Ni
0.750 0.750 0.750 Sc
```

Properties
Symmetry: F-43m (216)
Magnetization: 0.0000 μB/atom
DOS at the Fermi energy: 2.4 states/eV per cell


Most stable to least stable, the ends of the list are two and four.


one | An optimized crystal structure of ScNiAg. Source: Alexandria via LeMat-Bulk, functional PBE-GGA.

POSCAR file:
```
ScNiAg
1.0
4.422 0.000 0.000
-2.211 3.830 0.000
0.000 0.000 3.038
Ag Ni Sc
1 1 1
direct
0.000 0.000 0.166 Ag
0.667 0.333 0.167 Ni
0.333 0.667 0.666 Sc
```

Properties
Symmetry: P-6m2 (187)
Magnetization: 0.0000 μB/atom
DOS at the Fermi energy: 2.7 states/eV per cell


two | An optimized crystal structure of ScNiAg. Source: Alexandria via LeMat-Bulk, functional PBE-GGA.

POSCAR file:
```
ScNiAg
1.0
-0.166 3.987 2.025
-3.721 2.467 -0.236
0.491 -6.994 3.932
Ag Sc Ni
2 2 2
direct
0.598 0.066 0.828 Ag
0.115 0.585 0.605 Ag
0.287 0.756 0.363 Sc
0.426 0.894 0.070 Sc
0.711 0.182 0.501 Ni
0.001 0.469 0.933 Ni
```

Properties
Symmetry: P-1 (2)
Magnetization: 0.0000 μB/atom
DOS at the Fermi energy: 4.2 states/eV per cell


Most stable to least stable, the ends of the list are one and two.


one | An optimized crystal structure of Sc2Ni2Ag. Source: Alexandria via LeMat-Bulk, functional PBE-GGA.

POSCAR file:
```
Sc2Ni2Ag
1.0
-0.751 -0.859 -3.292
-0.682 -3.265 1.007
-7.681 -0.260 -0.023
Sc Ni Ag
2 2 1
direct
0.382 0.382 0.235 Sc
0.618 0.618 0.765 Sc
0.750 0.250 0.500 Ni
0.250 0.750 0.500 Ni
0.000 0.000 0.000 Ag
```

Properties
Symmetry: I4/mmm (139)
Magnetization: 0.0000 μB/atom
DOS at the Fermi energy: 2.0 states/eV per cell


two | An optimized crystal structure of Sc2Ni2Ag. Source: Alexandria via LeMat-Bulk, functional PBE-GGA.

POSCAR file:
```
Sc2Ni2Ag
1.0
4.855 0.000 0.000
0.000 4.855 0.000
2.428 2.428 3.790
Sc Ni Ag
2 2 1
direct
0.750 0.250 0.500 Sc
0.250 0.750 0.500 Sc
0.352 0.352 0.297 Ni
0.648 0.648 0.703 Ni
0.000 0.000 0.000 Ag
```

Properties
Symmetry: I4/mmm (139)
Magnetization: 0.0000 μB/atom
DOS at the Fermi energy: 2.0 states/eV per cell


Most stable to least stable, the ends of the list are one and two.